# 1
The following is a DFT calculation (PBE) of a relaxed BaBeReSi2 crystal.

```
data_BaBeReSi2
_space_group_name_H-M_alt 'P 4/m m m'
_space_group_IT_number 123
_space_group_name_Hall '-P 4 2'
_cell_length_a 4.584
_cell_length_b 4.584
_cell_length_c 4.543
_cell_angle_alpha 90.00
_cell_angle_beta 90.00
_cell_angle_gamma 90.00
loop_
_atom_site_label
_atom_site_type_symbol
_atom_site_fract_x
_atom_site_fract_y
_atom_site_fract_z
_atom_site_occupancy
Ba1 Ba 0.000 0.000 0.000 1
Be1 Be 0.500 0.500 0.500 1
Re1 Re 0.500 0.500 0.000 1
Si1 Si 0.000 0.500 0.500 1
```

Values from the calculation:
E_tot, eV per atom: -4.987
Formation energy from raw total energies, meV per atom: 802
Magnetization, μB per atom: 0.14

# 2
The following is a DFT calculation (PBE) of a relaxed BaTaBeRe2 crystal.

```
data_BaTaBeRe2
_space_group_name_H-M_alt 'P 4/m m m'
_space_group_IT_number 123
_space_group_name_Hall '-P 4 2'
_cell_length_a 5.005
_cell_length_b 5.005
_cell_length_c 4.264
_cell_angle_alpha 90.00
_cell_angle_beta 90.00
_cell_angle_gamma 90.00
loop_
_atom_site_label
_atom_site_type_symbol
_atom_site_fract_x
_atom_site_fract_y
_atom_site_fract_z
_atom_site_occupancy
Ba1 Ba 0.000 0.000 0.000 1
Ta1 Ta 0.500 0.500 0.500 1
Be1 Be 0.000 0.000 0.500 1
Re1 Re 0.000 0.500 0.000 1
```

Values from the calculation:
Energy of formation, eV per atom: 3.298
E_tot, eV per atom: -5.181
Magnetization, μB per atom: 0.00

# 3
The following is a DFT calculation (PBE) of a relaxed BaTiBeRe2 crystal.

```
data_BaTiBeRe2
_space_group_name_H-M_alt 'P 4/m m m'
_space_group_IT_number 123
_space_group_name_Hall '-P 4 2'
_cell_length_a 4.978
_cell_length_b 4.978
_cell_length_c 4.829
_cell_angle_alpha 90.00
_cell_angle_beta 90.00
_cell_angle_gamma 90.00
loop_
_atom_site_label
_atom_site_type_symbol
_atom_site_fract_x
_atom_site_fract_y
_atom_site_fract_z
_atom_site_occupancy
Ba1 Ba 0.000 0.000 0.000 1
Ti1 Ti 0.000 0.000 0.500 1
Be1 Be 0.500 0.500 0.500 1
Re1 Re 0.000 0.500 0.000 1
```

Values from the calculation:
Energy of formation, eV per atom: 3.411
E_tot, eV per atom: -4.277
Magnetization, μB per atom: 0.00

# 4
The following is a DFT calculation (PBE) of a relaxed BaBeRh4 crystal.

```
data_BaBeRh4
_space_group_name_H-M_alt 'F -4 3 m'
_space_group_IT_number 216
_space_group_name_Hall 'F -4 2 3'
_cell_length_a 7.586
_cell_length_b 7.586
_cell_length_c 7.586
_cell_angle_alpha 90.00
_cell_angle_beta 90.00
_cell_angle_gamma 90.00
loop_
_atom_site_label
_atom_site_type_symbol
_atom_site_fract_x
_atom_site_fract_y
_atom_site_fract_z
_atom_site_occupancy
Ba1 Ba 0.000 0.000 0.000 1
Be1 Be 0.250 0.250 0.750 1
Rh1 Rh 0.124 0.124 0.376 1
```

Values from the calculation:
Energy of formation, eV per atom: 0.356
E_tot, eV per atom: -5.486
Magnetization, μB per atom: 0.00

# 5
The following is a DFT calculation (PBE) of a relaxed Ba2BeRh crystal.

```
data_Ba2BeRh
_space_group_name_H-M_alt 'P 1 m 1'
_space_group_IT_number 6
_cell_length_a 4.582
_cell_length_b 4.148
_cell_length_c 7.524
_cell_angle_alpha 90.00
_cell_angle_beta 107.67
_cell_angle_gamma 90.00
loop_
_space_group_symop_operation_xyz
'x,y,z'
'x,-y,z'
loop_
_atom_site_label
_atom_site_type_symbol
_atom_site_fract_x
_atom_site_fract_y
_atom_site_fract_z
_atom_site_occupancy
Ba1 Ba 0.000 0.000 0.000 1
Ba2 Ba 0.252 0.500 0.507 1
Be1 Be 0.659 0.000 0.320 1
Rh1 Rh 0.603 0.500 0.208 1
```

Values from the calculation:
Energy of formation, eV per atom: -0.080
E_tot, eV per atom: -3.811
Magnetization, μB per atom: 0.00

# 6
The following is a DFT calculation (PBE) of a relaxed Ba3BeRh crystal.

```
data_Ba3BeRh
_space_group_name_H-M_alt 'P m -3 m'
_space_group_IT_number 221
_space_group_name_Hall '-P 4 2 3'
_cell_length_a 5.972
_cell_length_b 5.972
_cell_length_c 5.972
_cell_angle_alpha 90.00
_cell_angle_beta 90.00
_cell_angle_gamma 90.00
loop_
_atom_site_label
_atom_site_type_symbol
_atom_site_fract_x
_atom_site_fract_y
_atom_site_fract_z
_atom_site_occupancy
Ba1 Ba 0.000 0.000 0.500 1
Be1 Be 0.500 0.500 0.500 1
Rh1 Rh 0.000 0.000 0.000 1
```

Values from the calculation:
Energy of formation, eV per atom: 0.329
E_tot, eV per atom: -3.040
Magnetization, μB per atom: 0.00

# 7
The following is a DFT calculation (PBE) of a relaxed BaBe2Rh2 crystal.

```
data_BaBe2Rh2
_space_group_name_H-M_alt 'I 4/m m m'
_space_group_IT_number 139
_space_group_name_Hall '-I 4 2'
_cell_length_a 4.050
_cell_length_b 4.050
_cell_length_c 10.808
_cell_angle_alpha 90.00
_cell_angle_beta 90.00
_cell_angle_gamma 90.00
loop_
_atom_site_label
_atom_site_type_symbol
_atom_site_fract_x
_atom_site_fract_y
_atom_site_fract_z
_atom_site_occupancy
Ba1 Ba 0.000 0.000 0.000 1
Be1 Be 0.000 0.500 0.250 1
Rh1 Rh 0.000 0.000 0.343 1
```

Values from the calculation:
Energy of formation, eV per atom: -0.183
E_tot, eV per atom: -4.999
Magnetization, μB per atom: 0.00

# 8
The following is a DFT calculation (PBE) of a relaxed Ba2BeRh crystal.

```
data_Ba2BeRh
_space_group_name_H-M_alt 'P 4 m m'
_space_group_IT_number 99
_cell_length_a 3.449
_cell_length_b 3.449
_cell_length_c 9.383
_cell_angle_alpha 90.00
_cell_angle_beta 90.00
_cell_angle_gamma 90.00
loop_
_space_group_symop_operation_xyz
'x,y,z'
'-y,x,z'
'-x,-y,z'
'y,-x,z'
'-x,y,z'
'y,x,z'
'x,-y,z'
'-y,-x,z'
loop_
_atom_site_label
_atom_site_type_symbol
_atom_site_fract_x
_atom_site_fract_y
_atom_site_fract_z
_atom_site_occupancy
Ba1 Ba 0.000 0.000 0.000 1
Ba2 Ba 0.500 0.500 0.424 1
Be1 Be 0.000 0.000 0.684 1
Rh1 Rh 0.500 0.500 0.724 1
```

Values from the calculation:
Energy of formation, eV per atom: 0.106
E_tot, eV per atom: -3.624
Magnetization, μB per atom: 0.00

- Among the records above, which one has the highest magnetization?
  BaBeReSi2

- What is the magnetization in the eighth record?
  0.00 μB per atom

Repeat the eighth record exactly.
The following is a DFT calculation (PBE) of a relaxed Ba2BeRh crystal.

```
data_Ba2BeRh
_space_group_name_H-M_alt 'P 4 m m'
_space_group_IT_number 99
_cell_length_a 3.449
_cell_length_b 3.449
_cell_length_c 9.383
_cell_angle_alpha 90.00
_cell_angle_beta 90.00
_cell_angle_gamma 90.00
loop_
_space_group_symop_operation_xyz
'x,y,z'
'-y,x,z'
'-x,-y,z'
'y,-x,z'
'-x,y,z'
'y,x,z'
'x,-y,z'
'-y,-x,z'
loop_
_atom_site_label
_atom_site_type_symbol
_atom_site_fract_x
_atom_site_fract_y
_atom_site_fract_z
_atom_site_occupancy
Ba1 Ba 0.000 0.000 0.000 1
Ba2 Ba 0.500 0.500 0.424 1
Be1 Be 0.000 0.000 0.684 1
Rh1 Rh 0.500 0.500 0.724 1
```

Values from the calculation:
Energy of formation, eV per atom: 0.106
E_tot, eV per atom: -3.624
Magnetization, μB per atom: 0.00

Repeat the first record exactly.
The following is a DFT calculation (PBE) of a relaxed BaBeReSi2 crystal.

```
data_BaBeReSi2
_space_group_name_H-M_alt 'P 4/m m m'
_space_group_IT_number 123
_space_group_name_Hall '-P 4 2'
_cell_length_a 4.584
_cell_length_b 4.584
_cell_length_c 4.543
_cell_angle_alpha 90.00
_cell_angle_beta 90.00
_cell_angle_gamma 90.00
loop_
_atom_site_label
_atom_site_type_symbol
_atom_site_fract_x
_atom_site_fract_y
_atom_site_fract_z
_atom_site_occupancy
Ba1 Ba 0.000 0.000 0.000 1
Be1 Be 0.500 0.500 0.500 1
Re1 Re 0.500 0.500 0.000 1
Si1 Si 0.000 0.500 0.500 1
```

Values from the calculation:
E_tot, eV per atom: -4.987
Formation energy from raw total energies, meV per atom: 802
Magnetization, μB per atom: 0.14